1.
! Cd6GaHg3 | Alexandria via LeMat-Bulk | PBE | relaxed; values from VASP
! space group	Cmc2_1, No. 36
! formation energy from the elements	0.05	eV/atom
! calculated volume	24.27	Å³ per atom
! E	-17.87	eV per cell
&SYSTEM
  ibrav = 0, nat = 20, ntyp = 3
/
ATOMIC_SPECIES
Cd 112.41 Cd.upf
Hg 200.59 Hg.upf
Ga 69.72 Ga.upf
CELL_PARAMETERS angstrom
-1.9218 3.3430 -5.0751
-7.4985 -5.0689 -0.4995
-1.1713 7.2964 5.2498
ATOMIC_POSITIONS angstrom
Cd -7.5606 -3.5178 -1.3403
Cd -2.9756 8.9921 1.1615
Cd -2.1142 6.4593 -0.6439
Cd -5.7619 0.7230 -0.0460
Cd -7.3094 3.3026 -0.7378
Cd -4.6286 2.6138 -2.2067
Cd -5.7760 7.4001 1.3624
Cd -3.1272 1.9986 0.8220
Cd -5.8081 2.6874 2.2909
Cd -4.6694 -2.0837 -1.3013
Cd -8.3311 -1.1429 0.7050
Cd -5.1671 5.4347 -1.1701
Hg -2.6873 0.1522 -1.3913
Hg -2.3535 4.3538 -2.7525
Hg -3.8885 4.9072 1.4110
Hg -8.1481 5.8426 0.4225
Hg -7.3237 1.7431 -3.3749
Hg -8.4819 1.6410 1.7836
Ga -2.5252 4.8651 3.9189
Ga -7.2217 -0.7639 -2.0131

2.
! Li2Ta2Sb | Alexandria via LeMat-Bulk | PBE | relaxed; values from VASP
! space group	I4/mmm, No. 139
! calculated volume	17.81	Å³ per atom
! E	-29.03	eV per cell
! energy relative to the elements, uncorrected	0.5254	eV per atom
&SYSTEM
  ibrav = 0, nat = 5, ntyp = 3
/
ATOMIC_SPECIES
Ta 180.95 Ta.upf
Li 6.94 Li.upf
Sb 121.76 Sb.upf
CELL_PARAMETERS angstrom
3.9638 0.0000 0.0000
0.0000 3.9638 0.0000
1.9819 1.9819 5.6688
ATOMIC_POSITIONS angstrom
Ta 3.9638 1.9819 2.8344
Ta 1.9819 3.9638 2.8344
Li 1.9819 1.9819 0.9865
Li 3.9638 3.9638 4.6823
Sb 0.0000 0.0000 0.0000

3.
! ZnTcTe | Alexandria via LeMat-Bulk | PBE | relaxed; values from VASP
! space group	I4mm, No. 107
! calculated volume	17.19	Å³ per atom
! E	-14.12	eV per cell
! energy relative to the elements, uncorrected	0.2201	eV per atom
&SYSTEM
  ibrav = 0, nat = 3, ntyp = 3
/
ATOMIC_SPECIES
Te 127.60 Te.upf
Zn 65.41 Zn.upf
Tc 98.00 Tc.upf
CELL_PARAMETERS angstrom
-0.3624 4.9529 -0.5258
-4.3879 2.2411 -0.8210
2.0446 -3.3672 3.0711
ATOMIC_POSITIONS angstrom
Te 0.4314 -0.9244 2.6137
Zn -1.0798 1.3643 2.1852
Tc -0.0128 0.0197 -0.0034

4.
! YSb3H | Alexandria via LeMat-Bulk | PBE | relaxed; values from VASP
! space group	Pm-3m, No. 221
! calculated volume	22.11	Å³ per atom
! E	-22.52	eV per cell
&SYSTEM
  ibrav = 0, nat = 5, ntyp = 3
/
ATOMIC_SPECIES
H 1.01 H.upf
Sb 121.76 Sb.upf
Y 88.91 Y.upf
CELL_PARAMETERS angstrom
-1.1990 1.7115 -4.3209
-4.3528 1.1503 1.6635
1.6287 4.3341 1.2648
ATOMIC_POSITIONS angstrom
H 0.0000 0.0000 0.0000
Sb -2.1764 0.5751 0.8318
Sb -0.5995 0.8558 -2.1604
Sb 0.8144 2.1670 0.6324
Y -1.9615 3.5980 -0.6963

5.
! TbPmSe2 | Alexandria via LeMat-Bulk | PBE | relaxed; values from VASP
! space group	R-3m, No. 166
! calculated volume	25.20	Å³ per atom
! E	-23.58	eV per cell
! energy relative to the elements, uncorrected	-1.8063	eV per atom
&SYSTEM
  ibrav = 0, nat = 4, ntyp = 3
/
ATOMIC_SPECIES
Se 78.96 Se.upf
Pm 145.00 Pm.upf
Tb 158.93 Tb.upf
CELL_PARAMETERS angstrom
-2.0038 -0.5081 3.5895
-0.2695 -3.7647 1.7067
5.0155 -0.3046 5.1468
ATOMIC_POSITIONS angstrom
Se 2.0016 -3.4437 7.8000
Se 0.7405 -1.1337 2.6430
Pm 0.0000 0.0000 0.0000
Tb 1.3711 -2.2887 5.2215

6.
! LiRe2 | Alexandria via LeMat-Bulk | PBE | relaxed; values from VASP
! space group	C2/m, No. 12
! formation energy from the elements	0.22	eV/atom
! calculated volume	13.92	Å³ per atom
! E	-52.33	eV per cell
&SYSTEM
  ibrav = 0, nat = 6, ntyp = 2
/
ATOMIC_SPECIES
Re 186.21 Re.upf
Li 6.94 Li.upf
CELL_PARAMETERS angstrom
1.4926 4.9422 -0.0026
-1.4926 4.9422 -0.0026
0.0000 1.5179 5.6585
ATOMIC_POSITIONS angstrom
Re 0.0000 9.2296 3.1787
Re 0.0000 2.1728 2.4746
Re 0.0000 5.2463 1.2506
Re 0.0000 6.1560 4.4027
Li 0.0000 8.1335 0.4992
Li 0.0000 3.2689 5.1541

7.
! PaBi2Te | Alexandria via LeMat-Bulk | PBE | relaxed; values from VASP
! space group	P2_1/m, No. 11
! calculated volume	31.03	Å³ per atom
! E	-42.76	eV per cell
! energy relative to the elements, uncorrected	-0.2445	eV per atom
&SYSTEM
  ibrav = 0, nat = 8, ntyp = 3
/
ATOMIC_SPECIES
Bi 208.98 Bi.upf
Pa 231.04 Pa.upf
Te 127.60 Te.upf
CELL_PARAMETERS angstrom
-0.3759 4.9233 -0.7092
-2.3114 0.6788 5.9379
7.9942 0.7131 0.7133
ATOMIC_POSITIONS angstrom
Bi 0.3730 1.6589 2.5472
Bi 4.9338 4.6563 3.3949
Bi -1.5555 1.8892 5.1681
Bi 6.8623 4.4261 0.7740
Pa 1.9890 4.1201 1.2330
Pa 3.3178 2.1952 4.7091
Te 4.0962 1.8025 1.5705
Te 1.2106 4.5127 4.3716

8.
! Ba2AgC | Alexandria via LeMat-Bulk | PBE | relaxed; values from VASP
! space group	I-42d, No. 122
! formation energy from the elements	0.60	eV/atom
! calculated volume	36.33	Å³ per atom
! E	-27.04	eV per cell
&SYSTEM
  ibrav = 0, nat = 8, ntyp = 3
/
ATOMIC_SPECIES
Ba 137.33 Ba.upf
Ag 107.87 Ag.upf
C 12.01 C.upf
CELL_PARAMETERS angstrom
8.0803 0.0000 0.0000
0.0000 8.0803 0.0000
4.0401 4.0401 4.4517
ATOMIC_POSITIONS angstrom
Ba 6.0602 6.6790 3.3388
Ba 5.4414 2.0201 1.1129
Ba 2.6388 6.0602 1.1129
Ba 10.1003 9.4816 3.3388
Ag 8.0803 4.0401 2.2259
Ag 0.0000 0.0000 0.0000
C 4.0401 4.0401 0.0000
C 4.0401 8.0803 2.2259

9.
! CsLi4Pm3Cl12 | Alexandria via LeMat-Bulk | PBE | relaxed; values from VASP
! space group	R32, No. 155
! calculated volume	30.39	Å³ per atom
! E	-83.09	eV per cell
! energy relative to the elements, uncorrected	-1.9082	eV per atom
&SYSTEM
  ibrav = 0, nat = 20, ntyp = 4
/
ATOMIC_SPECIES
Li 6.94 Li.upf
Cl 35.45 Cl.upf
Cs 132.91 Cs.upf
Pm 145.00 Pm.upf
CELL_PARAMETERS angstrom
9.1533 -0.4246 -0.5898
-2.6175 8.7814 -0.5898
-2.6175 -3.3467 8.1400
ATOMIC_POSITIONS angstrom
Li 1.9592 2.5050 3.4802
Li 1.9592 7.5568 -0.1561
Li 6.8621 -1.3295 3.4802
Li -2.9437 1.2879 7.1164
Cl 1.9592 -2.6409 7.1842
Cl -3.0467 3.1939 5.7833
Cl 0.1650 3.9083 3.4802
Cl 6.9535 3.7449 -0.2239
Cl -3.0351 6.4111 3.4802
Cl 6.9650 0.5397 2.0959
Cl -1.1543 -0.1995 7.1989
Cl 3.7534 2.9505 2.1495
Cl 3.8339 6.1785 -0.2385
Cl 5.0727 -1.8798 4.8645
Cl 1.9592 0.6564 4.8109
Cl 0.0845 7.1974 1.1771
Cs 0.0000 0.0000 0.0000
Pm 2.3617 -2.1106 4.4472
Pm 4.1741 3.4697 -0.5898
Pm -2.6175 3.6510 3.1030

10.
! PrNdGaSi | Alexandria via LeMat-Bulk | PBE | relaxed; values from VASP
! space group	Amm2, No. 38
! calculated volume	25.61	Å³ per atom
! E	-20.76	eV per cell
! energy relative to the elements, uncorrected	-0.6918	eV per atom
&SYSTEM
  ibrav = 0, nat = 4, ntyp = 4
/
ATOMIC_SPECIES
Ga 69.72 Ga.upf
Si 28.09 Si.upf
Pr 140.91 Pr.upf
Nd 144.24 Nd.upf
CELL_PARAMETERS angstrom
4.4671 0.0000 0.0000
0.0000 4.0721 0.0000
-2.2336 0.0000 5.6323
ATOMIC_POSITIONS angstrom
Ga 0.0000 0.0000 4.8384
Si 2.2336 2.0360 0.7904
Pr 0.0000 0.0000 1.5940
Nd 2.2336 2.0360 4.0417

11.
! CaPbW4 | Alexandria via LeMat-Bulk | PBE | relaxed; values from VASP
! space group	F-43m, No. 216
! formation energy from the elements	0.67	eV/atom
! calculated volume	19.71	Å³ per atom
! E	-53.50	eV per cell
&SYSTEM
  ibrav = 0, nat = 6, ntyp = 3
/
ATOMIC_SPECIES
W 183.84 W.upf
Ca 40.08 Ca.upf
Pb 207.20 Pb.upf
CELL_PARAMETERS angstrom
0.0000 3.8956 3.8956
3.8956 0.0000 3.8956
3.8956 3.8956 0.0000
ATOMIC_POSITIONS angstrom
W 2.9262 4.8650 4.8650
W 4.8650 2.9262 4.8650
W 2.9262 2.9262 2.9262
W 4.8650 4.8650 2.9262
Ca 5.8435 5.8435 5.8435
Pb 0.0000 0.0000 0.0000

12.
! Pm2PaAsN5 | Alexandria via LeMat-Bulk | PBE | relaxed; values from VASP
! space group	Cmc2_1, No. 36
! calculated volume	14.77	Å³ per atom
! E	-147.61	eV per cell
! energy relative to the elements, uncorrected	-0.9480	eV per atom
&SYSTEM
  ibrav = 0, nat = 18, ntyp = 4
/
ATOMIC_SPECIES
N 14.01 N.upf
As 74.92 As.upf
Pm 145.00 Pm.upf
Pa 231.04 Pa.upf
CELL_PARAMETERS angstrom
-3.3506 1.0421 -0.4800
-0.0056 -7.2278 -2.5875
-2.3422 -3.2922 9.2015
ATOMIC_POSITIONS angstrom
N -2.7601 -2.8233 0.0715
N -4.4651 -7.3901 2.0578
N -3.4978 -9.2277 4.3816
N -2.3465 -0.4552 2.3255
N -3.3539 -3.1232 3.5649
N -2.5287 -6.0788 4.4534
N -1.1941 -4.7375 -1.9507
N -0.2119 -0.6520 0.0634
N -1.9872 -5.6582 1.5870
N -4.2974 -4.6436 6.8498
As -4.0454 -3.1974 8.2312
As -2.5805 -7.5842 1.5467
Pm -4.8747 -7.2805 5.1548
Pm -1.9600 -3.6977 5.6535
Pm -1.1519 -2.6586 2.2683
Pm -3.4156 -5.3265 -0.7876
Pa -3.8745 -5.1083 2.8895
Pa -0.7448 -2.8529 -0.9947

no.,total magnetization (μB per formula unit),density (g/cm3),N(E_F) (states/eV/cell)
1,0.00,9.2,4.02
2,0.00,9.3,5.11
3,0.00,9.4,2.47
4,0.00,6.8,1.98
5,0.00,7.6,1.91
6,0.00,15.1,3.32
7,0.47,10.4,8.32
8,1.00,4.5,4.72
9,2.01,2.8,9.15
10,0.09,6.2,3.38
11,0.00,13.8,5.60
12,0.00,8.3,1.22